Record 1
{"formula": "Hg2BN", "functional": "PBEsol", "state": "relaxed", "lattice": [[-0.353, 3.509, -2.494], [-0.310, -0.420, -4.288], [-3.734, 0.868, -1.991]], "species": ["B", "N", "Hg", "Hg"], "frac_coords": [[0.000, 0.000, 0.000], [0.500, 0.500, 0.500], [0.250, 0.250, 0.250], [0.750, 0.750, 0.750]], "raw_formation_energy_ev_per_atom": 1.733, "mass_density_kg_m3": 12415, "dos_at_fermi_per_ev_cell": 1.201, "crystal_system": "cubic", "final_energy_ev_per_atom": -2.44}


Record 2
{"formula": "ReHg2BN", "functional": "PBEsol", "state": "relaxed", "lattice": [[4.021, 0.000, 0.000], [0.000, 5.244, 0.000], [0.000, 0.000, 5.244]], "species": ["B", "Re", "Hg", "Hg", "N"], "frac_coords": [[0.500, 0.000, 0.000], [0.000, 0.000, 0.000], [0.000, 0.500, 0.000], [0.000, 0.000, 0.500], [0.500, 0.500, 0.500]], "raw_formation_energy_ev_per_atom": 1.989, "mass_density_kg_m3": 9193, "dos_at_fermi_per_ev_cell": 3.432, "crystal_system": "tetragonal", "final_energy_ev_per_atom": -4.01}


Record 3
{"formula": "TlHg2BN", "functional": "PBEsol", "state": "relaxed", "lattice": [[-0.144, -2.217, -3.749], [-0.461, -3.723, 2.219], [-5.517, 0.598, -0.141]], "species": ["Hg", "Hg", "B", "Tl", "N"], "frac_coords": [[0.500, 0.000, 0.000], [0.000, 0.500, 0.000], [0.500, 0.500, 0.500], [0.000, 0.000, 0.500], [0.000, 0.000, 0.000]], "raw_formation_energy_ev_per_atom": 1.489, "mass_density_kg_m3": 9929, "dos_at_fermi_per_ev_cell": 3.258, "crystal_system": "tetragonal", "final_energy_ev_per_atom": -2.37}


Record 4
{"formula": "Na2HgB2", "functional": "PBEsol", "state": "relaxed", "lattice": [[2.835, 0.000, 0.000], [0.000, 8.052, 0.000], [0.000, 0.000, 8.052]], "species": ["Na", "Na", "Na", "Na", "Hg", "Hg", "B", "B", "B", "B"], "frac_coords": [[0.000, 0.797, 0.703], [0.000, 0.703, 0.203], [0.000, 0.203, 0.297], [0.000, 0.297, 0.797], [0.000, 0.500, 0.500], [0.000, 0.000, 0.000], [0.500, 0.930, 0.430], [0.500, 0.430, 0.070], [0.500, 0.570, 0.930], [0.500, 0.070, 0.570]], "mass_density_kg_m3": 4845, "dos_at_fermi_per_ev_cell": 1.987, "crystal_system": "tetragonal", "ef_kj_per_mol_atoms": 81, "final_energy_ev_per_atom": -2.64}